# MnSnBr2O

An optimized crystal structure of MnSnBr2O (PBE with a Hubbard U, the Alexandria database).

Computed properties:
Spin magnetization: 19.88 Bohr magnetons per cell
Crystal system: orthorhombic
Total DFT energy (no corrections): -4.965 eV per atom

CIF file:
```
data_MnSnBr2O
_chemical_formula_sum 'Mn4 Sn4 Br8 O4'
_space_group_name_H-M_alt 'C m c m'
_space_group_IT_number 63
_space_group_name_Hall '-C 2c 2'
_cell_length_a 3.652
_cell_length_b 15.164
_cell_length_c 9.135
_cell_angle_alpha 90.00
_cell_angle_beta 90.00
_cell_angle_gamma 90.00
loop_
_atom_site_label
_atom_site_type_symbol
_atom_site_fract_x
_atom_site_fract_y
_atom_site_fract_z
_atom_site_occupancy
Mn1 Mn 0.000 0.000 0.000 1
Sn1 Sn 0.000 0.352 0.250 1
Br1 Br 0.000 0.379 0.567 1
O1 O 0.000 0.062 0.750 1
```